## VAs2O6 (GGA+U)

Data for a geometry-optimized VAs2O6 structure.

```
18
Lattice="5.201 -4.612 0.000 5.201 4.612 0.000 -1.730 0.000 5.231" Properties=species:S:1:pos:R:3 pbc="T T T"
V 3.904 3.683 3.923
V 4.769 -3.683 1.308
As 1.677 0.869 3.936
As 2.542 -0.869 1.320
As 6.131 0.869 3.911
As 6.996 -0.869 1.295
O 0.067 0.680 3.400
O 2.208 2.444 4.144
O 0.932 -0.680 0.785
O 2.826 0.017 2.848
O 3.691 -0.017 0.232
O 5.599 2.444 3.703
O 3.074 -2.444 1.529
O 4.981 0.017 4.999
O 5.846 -0.017 2.383
O 7.740 0.680 4.446
O 6.464 -2.444 1.087
O 8.605 -0.680 1.831
```

Results
**E**: -116.6 eV per cell
**Space group**: No. 15
**Total moment**: 0.33 μB/atom
**Offset from the most stable computed form**: 0.000 eV/atom